Entry 1:
Entry from the Alexandria database: an optimized crystal structure of PrBiRhO (PBE).

Cell lengths 4.3051, 4.3051, 8.9573 Å; angles 90.00, 90.00, 90.00 degrees
Last column: nearest neighbours and their distance in Å.
Positions (direct):
Pr  0.2500  0.2500  0.1225  4 O 2.42
Pr  0.7500  0.7500  0.8775  4 O 2.42
Bi  0.2500  0.2500  0.6792  4 Rh 2.69
Bi  0.7500  0.7500  0.3208  4 Rh 2.69
Rh  0.2500  0.7500  0.5000  4 Bi 2.69
Rh  0.7500  0.2500  0.5000  4 Bi 2.69
O  0.2500  0.7500  0.0000  4 Pr 2.42
O  0.7500  0.2500  0.0000  4 Pr 2.42

Results
The calculation puts the raw formation energy at -1583 meV per atom. As for the space-group type: P4/nmm. The calculation puts the total energy at -27.3 eV/f.u. As for the magnetization: 0.00 Bohr magnetons per cell. As for the density of states at the Fermi level: 0.621 states/eV per atom.



Entry 2:
Entry from the Alexandria database: an optimized crystal structure of PrBi2RuO8 (PBE).

Cell lengths 5.1939, 6.8876, 5.2261 Å; angles 90.00, 91.74, 90.00 degrees
Last column: nearest neighbours and their distance in Å.
Positions (direct):
Pr  0.0000  0.0000  0.0000  6 O 2.39
Bi  0.5000  0.2537  0.5000  4 O 2.21-2.30
Bi  0.5000  0.7463  0.5000  4 O 2.21-2.30
Ru  0.0000  0.5000  0.0000  6 O 1.84-1.99
O  0.1762  0.2868  0.1936  1 Ru 1.99
O  0.1762  0.7132  0.1936  1 Ru 1.99
O  0.2590  0.5000  0.7677  1 Ru 1.84
O  0.3276  0.0000  0.6881  2 Bi 2.21, 1 Pr 2.39
O  0.6724  0.0000  0.3119  2 Bi 2.21, 1 Pr 2.39
O  0.7410  0.5000  0.2323  1 Ru 1.84
O  0.8238  0.2868  0.8064  1 Ru 1.99
O  0.8238  0.7132  0.8064  1 Ru 1.99

Results
The calculation puts the raw formation energy at -1416 meV per atom. As for the space-group type: P2/m. The calculation puts the total energy at -78.5 eV/f.u. As for the magnetization: 0.00 Bohr magnetons per cell. As for the density of states at the Fermi level: 0.371 states/eV per atom.



Entry 3:
Entry from the Alexandria database: an optimized crystal structure of PrBiSO2 (PBE).

Cell lengths 6.5676, 4.1346, 7.7880 Å; angles 90.00, 106.84, 90.00 degrees
Last column: nearest neighbours and their distance in Å.
Positions (direct):
Pr  0.2008  0.2500  0.4298  4 O 2.37-2.50
Pr  0.7992  0.7500  0.5702  4 O 2.37-2.50
Bi  0.1914  0.2500  0.9182  4 O 2.24-2.34
Bi  0.8086  0.7500  0.0818  4 O 2.24-2.34
S  0.4404  0.7500  0.7126  3 Pr 2.88-3.10, 1 Bi 3.18
S  0.5596  0.2500  0.2874  3 Pr 2.88-3.10, 1 Bi 3.18
O  0.0175  0.7500  0.8918  3 Bi 2.29-2.34, 1 Pr 2.50
O  0.0178  0.7500  0.3651  1 Bi 2.24, 3 Pr 2.37-2.44
O  0.9822  0.2500  0.6349  1 Bi 2.24, 3 Pr 2.37-2.44
O  0.9825  0.2500  0.1082  3 Bi 2.29-2.34, 1 Pr 2.50

Results
The calculation puts the raw formation energy at -1984 meV per atom. As for the space-group type: P2_1/m. The calculation puts the total energy at -32.6 eV/f.u. As for the magnetization: 0.00 Bohr magnetons per cell. As for the density of states at the Fermi level: 0.000 states/eV per atom.



Entry 4:
Entry from the Alexandria database: an optimized crystal structure of PrBi2SO4 (PBE).

Cell lengths 3.9314, 3.9314, 9.2188 Å; angles 90.00, 90.00, 90.00 degrees
Last column: nearest neighbours and their distance in Å.
Positions (direct):
Pr  0.0000  0.0000  0.0000  8 O 2.47
Bi  0.5000  0.5000  0.2852  4 O 2.27
Bi  0.5000  0.5000  0.7148  4 O 2.27
S  0.0000  0.0000  0.5000  8 Bi 3.41, 8 O 3.68
O  0.0000  0.5000  0.1628  2 Bi 2.27, 2 Pr 2.47
O  0.0000  0.5000  0.8372  2 Bi 2.27, 2 Pr 2.47
O  0.5000  0.0000  0.1628  2 Bi 2.27, 2 Pr 2.47
O  0.5000  0.0000  0.8372  2 Bi 2.27, 2 Pr 2.47

Results
The calculation puts the raw formation energy at -1638 meV per atom. As for the space-group type: P4/mmm. The calculation puts the total energy at -49.6 eV/f.u. As for the magnetization: 0.87 Bohr magnetons per cell. As for the density of states at the Fermi level: 0.533 states/eV per atom.